Density functional theory data (GGA-PBEsol) for an optimized crystal structure of Al2ZnMoPd.

Cell lengths 4.5272, 4.5272, 4.9002 Å; angles 90.00, 90.00, 90.00 degrees
With the nearest neighbours (Å) after each atom.
Space group P4/mmm (No. 123)
One atom of each set of equivalent atoms:
1 Al 0.0000 0.5000 0.0000 x2  2 Pd 2.26
2 Zn 0.0000 0.0000 0.5000 x1  4 Mo 3.20, 8 Al 3.34
3 Mo 0.5000 0.5000 0.5000 x1  2 Pd 2.45
4 Pd 0.5000 0.5000 0.0000 x1  4 Al 2.26, 2 Mo 2.45

Results
V = 100.4 Å³/cell
DFT formation energy = 0.8139 eV/atom

=====

Density functional theory data (GGA-PBEsol) for an optimized crystal structure of Al2Mo2Pt.

Cell lengths 3.5711, 3.5711, 12.8215 Å; angles 90.00, 90.00, 90.00 degrees
With the nearest neighbours (Å) after each atom.
Space group I4/mmm (No. 139)
One atom of each set of equivalent atoms:
1 Al 0.0000 0.5000 0.2500 x4  4 Al 2.53, 4 Mo 2.70
2 Mo 0.0000 0.0000 0.0925 x4  1 Mo 2.37
3 Pt 0.0000 0.0000 0.5000 x2  8 Mo 2.79

Results
V = 163.5 Å³/cell
DFT formation energy = 0.3825 eV/atom